[1]
## PbICl (PBE)

Data for crystalline PbICl at its relaxed geometry.

Structure (POSCAR):
```
PbICl
1.0
6.872 0.000 0.000
0.000 4.521 0.000
0.000 -2.260 3.915
I Cl Pb
1 1 1
Direct
0.590 0.333 0.667
0.103 0.000 0.000
0.307 0.667 0.333
```

SG ... P3m1, No. 156
Energy ... -9.8 eV for the cell shown

---

[2]
## PbICl (PBE)

Data for crystalline PbICl at its relaxed geometry.

Structure (POSCAR):
```
PbICl
1.0
4.500 0.000 0.000
-2.208 7.369 0.000
0.000 -0.479 7.770
I Cl Pb
2 2 2
Direct
0.632 0.770 0.852
0.368 0.230 0.148
0.093 0.690 0.343
0.907 0.310 0.657
0.000 0.500 0.000
0.500 0.500 0.500
```

SG ... P-1, No. 2
Energy ... -19.5 eV for the cell shown

---

[3]
## Pb2I2Cl (PBE)

Data for crystalline Pb2I2Cl at its relaxed geometry.

Structure (POSCAR):
```
Pb2I2Cl
1.0
8.168 0.000 0.000
0.000 8.168 0.000
0.000 0.000 5.094
Cl I Pb
2 4 4
Direct
0.000 0.000 0.000
0.500 0.500 0.000
0.334 0.166 0.500
0.834 0.334 0.500
0.666 0.834 0.500
0.166 0.666 0.500
0.341 0.841 0.000
0.159 0.341 0.000
0.659 0.159 0.000
0.841 0.659 0.000
```

SG ... P4/mbm, No. 127
Energy ... -30.1 eV for the cell shown

---

[4]
## PbI2Cl8 (PBE)

Data for crystalline PbI2Cl8 at its relaxed geometry.

Structure (POSCAR):
```
PbI2Cl8
1.0
8.788 0.000 3.879
4.359 6.849 2.018
-0.664 -1.227 13.400
Cl Pb I
16 2 4
Direct
0.998 0.264 0.527
0.002 0.736 0.473
0.641 0.139 0.415
0.710 0.906 0.143
0.290 0.094 0.857
0.383 0.468 0.244
0.096 0.032 0.256
0.759 0.594 0.357
0.617 0.532 0.756
0.211 0.764 0.027
0.194 0.361 0.085
0.359 0.861 0.585
0.806 0.639 0.915
0.904 0.968 0.744
0.789 0.236 0.973
0.241 0.406 0.643
0.021 0.750 0.250
0.979 0.250 0.750
0.198 0.074 0.053
0.802 0.926 0.947
0.676 0.574 0.553
0.324 0.426 0.447
```

SG ... C2/c, No. 15
Energy ... -53.0 eV for the cell shown

---

[5]
## Pb6I5Cl7 (PBE)

Data for crystalline Pb6I5Cl7 at its relaxed geometry.

Structure (POSCAR):
```
Pb6I5Cl7
1.0
7.151 0.945 0.000
-0.029 7.214 0.000
0.000 0.000 13.735
Cl I Pb
7 5 6
Direct
0.190 0.803 0.664
0.803 0.190 0.336
0.814 0.198 0.000
0.698 0.698 0.500
0.803 0.190 0.664
0.190 0.803 0.336
0.198 0.814 0.000
0.709 0.709 0.170
0.304 0.304 0.827
0.709 0.709 0.830
0.304 0.304 0.173
0.284 0.284 0.500
0.506 0.506 0.344
0.970 0.970 0.500
0.504 0.504 0.000
0.506 0.506 0.656
0.004 0.004 0.168
0.004 0.004 0.832
```

SG ... Amm2, No. 38
Energy ... -59.4 eV for the cell shown

---

[6]
## PbICl2 (PBE)

Data for crystalline PbICl2 at its relaxed geometry.

Structure (POSCAR):
```
PbICl2
1.0
0.000 3.829 3.829
3.829 0.000 3.829
3.829 3.829 0.000
Cl Pb I
2 1 1
Direct
0.250 0.250 0.250
0.750 0.750 0.750
0.500 0.500 0.500
0.000 0.000 0.000
```

Relative energy among the computed polymorphs ... 36.1 kJ/mol of atoms
SG ... Fm-3m, No. 225

---

[7]
## Rb2PbICl6 (PBE)

Data for crystalline Rb2PbICl6 at its relaxed geometry.

Structure (POSCAR):
```
Rb2PbICl6
1.0
8.531 0.000 0.000
0.000 8.531 0.000
4.265 4.265 5.378
Cl Rb Pb I
6 2 1 1
Direct
0.225 0.775 0.000
0.736 0.736 0.528
0.264 0.264 0.472
0.775 0.775 0.000
0.225 0.225 0.000
0.775 0.225 0.000
0.250 0.750 0.500
0.750 0.250 0.500
0.000 0.000 0.000
0.500 0.500 0.000
```

SG ... I4/mmm, No. 139
Energy ... -29.0 eV for the cell shown

---

[8]
## Rb2PbI6Cl (PBE)

Data for crystalline Rb2PbI6Cl at its relaxed geometry.

Structure (POSCAR):
```
Rb2PbI6Cl
1.0
-0.317 -2.349 8.837
6.887 -5.878 -1.315
7.083 0.057 5.006
Pb Rb I Cl
1 2 6 1
Direct
0.000 0.000 0.000
0.250 0.750 0.500
0.750 0.250 0.500
0.765 0.235 0.000
0.266 0.266 0.467
0.235 0.235 0.000
0.765 0.765 0.000
0.734 0.734 0.533
0.235 0.765 0.000
0.500 0.500 0.000
```

SG ... I4/mmm, No. 139
Energy ... -23.4 eV for the cell shown

---

V for every record listed, in sequence, given in Å³/cell: 121.6 257.7 339.8 825.1 708.9 112.3 391.4 483.6.
Total magnetic moment for every record listed, in sequence, given in μB per formula unit: 0.00 0.00 0.00 0.00 0.00 1.00 0.00 0.00.